No. 1
## TbPrMgIn (GGA-PBE)

Data for crystalline TbPrMgIn at its relaxed geometry.

a = 5.4270 Å, b = 5.4270 Å, c = 5.4270 Å
α = 60.00°, β = 60.00°, γ = 60.00°
Fractional positions:
Tb 0.0000 0.0000 0.0000
Pr 0.5000 0.5000 0.5000
Mg 0.7500 0.7500 0.7500
In 0.2500 0.2500 0.2500

## Properties
**Space-group type**: No. 216
**Total magnetization**: 0.00 μB/cell
**Formation energy from the elements**: -0.329 eV/atom

No. 2
## BaAgSe3 (GGA-PBE)

Data for crystalline BaAgSe3 at its relaxed geometry.

a = 5.1967 Å, b = 5.1967 Å, c = 5.1967 Å
α = 90.00°, β = 90.00°, γ = 90.00°
Fractional positions:
Ba 0.0000 0.0000 0.0000
Ag 0.5000 0.5000 0.5000
Se 0.0000 0.5000 0.5000
Se 0.5000 0.0000 0.5000
Se 0.5000 0.5000 0.0000

## Properties
**E above lowest polymorph**: 0 meV/atom
**Space-group type**: No. 221
**ΔE_f (raw)**: -617.7 meV/atom
**Total magnetization**: 0.00 μB/cell

No. 3
## CeLuCoRh (GGA-PBE)

Data for crystalline CeLuCoRh at its relaxed geometry.

a = 4.7792 Å, b = 4.7792 Å, c = 4.7792 Å
α = 60.00°, β = 60.00°, γ = 60.00°
Fractional positions:
Ce 0.0000 0.0000 0.0000
Lu 0.5000 0.5000 0.5000
Co 0.2500 0.2500 0.2500
Rh 0.7500 0.7500 0.7500

## Properties
**Space-group type**: No. 216
**Total magnetization**: 0.20 μB/cell
**Formation energy from the elements**: -0.472 eV/atom

No. 4
## RePb2Cl (GGA-PBE)

Data for crystalline RePb2Cl at its relaxed geometry.

a = 3.2289 Å, b = 4.8770 Å, c = 5.7886 Å
α = 90.00°, β = 90.00°, γ = 90.00°
Fractional positions:
Re 0.0000 0.0000 0.0000
Pb 0.0000 0.0000 0.5000
Pb 0.5000 0.5000 0.0000
Cl 0.5000 0.5000 0.5000

## Properties
**E above lowest polymorph**: 0 meV/atom
**Space-group type**: No. 47
**ΔE_f (raw)**: 446.2 meV/atom
**Total magnetization**: 0.00 μB/cell

No. 5
## KDy2Tl9 (GGA-PBE)

Data for crystalline KDy2Tl9 at its relaxed geometry.

a = 4.8519 Å, b = 4.8519 Å, c = 14.6257 Å
α = 90.00°, β = 90.00°, γ = 90.00°
Fractional positions:
K 0.0000 0.0000 0.0000
Dy 0.0000 0.0000 0.3456
Dy 0.0000 0.0000 0.6544
Tl 0.0000 0.5000 0.1793
Tl 0.0000 0.5000 0.5000
Tl 0.0000 0.5000 0.8207
Tl 0.5000 0.0000 0.1793
Tl 0.5000 0.0000 0.5000
Tl 0.5000 0.0000 0.8207
Tl 0.5000 0.5000 0.0000
Tl 0.5000 0.5000 0.3357
Tl 0.5000 0.5000 0.6643

## Properties
**Space-group type**: No. 123
**Total magnetization**: 0.00 μB/cell
**Formation energy from the elements**: -0.145 eV/atom

No. 6
## NbSnSb2Cl (GGA-PBE)

Data for crystalline NbSnSb2Cl at its relaxed geometry.

a = 5.5980 Å, b = 5.5980 Å, c = 5.4913 Å
α = 90.00°, β = 90.00°, γ = 90.00°
Fractional positions:
Nb 0.0000 0.0000 0.0000
Sn 0.0000 0.0000 0.5000
Sb 0.0000 0.5000 0.5000
Sb 0.5000 0.0000 0.5000
Cl 0.5000 0.5000 0.0000

## Properties
**Space-group type**: No. 123
**ΔE_f (raw)**: 1074.9 meV/atom
**Total magnetization**: 2.19 μB/cell

What did the fourth record say?
## RePb2Cl (GGA-PBE)

Data for crystalline RePb2Cl at its relaxed geometry.

a = 3.2289 Å, b = 4.8770 Å, c = 5.7886 Å
α = 90.00°, β = 90.00°, γ = 90.00°
Fractional positions:
Re 0.0000 0.0000 0.0000
Pb 0.0000 0.0000 0.5000
Pb 0.5000 0.5000 0.0000
Cl 0.5000 0.5000 0.5000

## Properties
**E above lowest polymorph**: 0 meV/atom
**Space-group type**: No. 47
**ΔE_f (raw)**: 446.2 meV/atom
**Total magnetization**: 0.00 μB/cell